[1]
LaPm7Pr3: optimized geometry, PBE.

Calculated values
- SG = No. 156
- energy relative to the elements (meV per atom) = 168

a = 8.868 Å, b = 7.274 Å, c = 7.274 Å
α = 120.00°, β = 90.00°, γ = 90.00°
Atoms (fractional coordinates):
1 Pm 0.449 0.334 0.167
2 Pm 0.116 0.666 0.833
3 Pm 0.116 0.167 0.334
4 Pm 0.449 0.833 0.167
5 Pm 0.449 0.833 0.666
6 Pm 0.116 0.167 0.833
7 Pm 0.124 0.667 0.333
8 La 0.443 0.333 0.667
9 Pr 0.784 0.000 0.500
10 Pr 0.784 0.500 0.000
11 Pr 0.784 0.500 0.500



[2]
BaTl2HgRh: optimized geometry, PBE.

Calculated values
- SG = No. 123
- energy relative to the elements (meV per atom) = -240

a = 5.282 Å, b = 5.282 Å, c = 5.386 Å
α = 90.00°, β = 90.00°, γ = 90.00°
Atoms (fractional coordinates):
1 Tl 0.000 0.500 0.000
2 Tl 0.500 0.000 0.000
3 Ba 0.500 0.500 0.500
4 Rh 0.000 0.000 0.000
5 Hg 0.000 0.000 0.500



[3]
TcHW2: optimized geometry, PBE.

Calculated values
- SG = No. 166
- energy (eV for the cell shown) = -39.0

a = 2.850 Å, b = 2.850 Å, c = 7.163 Å
α = 78.52°, β = 78.52°, γ = 60.00°
Atoms (fractional coordinates):
1 H 0.000 0.000 0.000
2 Tc 0.500 0.500 0.500
3 W 0.272 0.272 0.184
4 W 0.728 0.728 0.816



[4]
HoLu2Pb: optimized geometry, PBE.

Calculated values
- SG = No. 123
- energy relative to the elements (meV per atom) = -195

a = 3.601 Å, b = 3.601 Å, c = 8.957 Å
α = 90.00°, β = 90.00°, γ = 90.00°
Atoms (fractional coordinates):
1 Ho 0.500 0.500 0.500
2 Lu 0.000 0.000 0.238
3 Lu 0.000 0.000 0.762
4 Pb 0.500 0.500 0.000